La6Ho12Er, optimized geometry, DFT GGA-PBE; ΔH_f (0 K) = 248 kJ/mol of formula units
1.0
5.577 3.220 5.915
-5.577 3.220 5.915
0.000 -6.440 5.915
La Ho Er
6 12 1
Direct
0.266 0.266 0.664
0.266 0.664 0.266
0.336 0.734 0.734
0.664 0.266 0.266
0.734 0.336 0.734
0.734 0.734 0.336
0.012 0.012 0.695
0.012 0.695 0.012
0.015 0.361 0.361
0.305 0.988 0.988
0.361 0.015 0.361
0.361 0.361 0.015
0.639 0.639 0.985
0.639 0.985 0.639
0.695 0.012 0.012
0.985 0.639 0.639
0.988 0.305 0.988
0.988 0.988 0.305
0.500 0.500 0.500

La3HoEr7, optimized geometry, DFT GGA-PBE; ΔH_f (0 K) = 130 kJ/mol of formula units
1.0
6.533 0.000 0.000
-0.605 6.680 0.000
-1.225 -1.598 8.358
La Ho Er
3 1 7
Direct
0.000 0.000 0.000
0.196 0.560 0.166
0.804 0.440 0.834
0.500 0.000 0.500
0.012 0.770 0.577
0.285 0.275 0.788
0.437 0.793 0.852
0.500 0.500 0.500
0.563 0.207 0.148
0.715 0.725 0.212
0.988 0.230 0.423

LaHoEr14, optimized geometry, DFT GGA-PBE; ΔH_f (0 K) = 17 kJ/mol of formula units
1.0
11.392 0.000 0.000
0.000 3.543 6.133
0.000 -3.543 6.133
La Ho Er
1 1 14
Direct
0.000 0.000 0.000
0.000 0.500 0.500
0.000 0.000 0.500
0.000 0.500 0.000
0.250 0.667 0.667
0.253 0.168 0.168
0.254 0.168 0.666
0.254 0.666 0.168
0.500 0.334 0.334
0.500 0.335 0.834
0.500 0.834 0.335
0.500 0.834 0.834
0.746 0.168 0.666
0.746 0.666 0.168
0.747 0.168 0.168
0.750 0.667 0.667

La2Ho2Er, optimized geometry, DFT GGA-PBE; ΔH_f (0 K) = 65 kJ/mol of formula units
1.0
-1.777 2.845 16.433
1.777 -2.845 16.433
1.777 2.845 -16.433
La Ho Er
4 4 2
Direct
0.042 0.292 0.750
0.435 0.185 0.250
0.565 0.815 0.750
0.958 0.708 0.250
0.133 0.883 0.250
0.229 0.979 0.250
0.771 0.021 0.750
0.867 0.117 0.750
0.322 0.572 0.750
0.678 0.428 0.250

LaHo2Er12, optimized geometry, DFT GGA-PBE; ΔH_f (0 K) = 543 kJ/mol of formula units
1.0
6.373 0.000 0.000
0.000 6.373 0.000
0.000 0.000 24.835
La Ho Er
2 4 24
Direct
0.250 0.750 0.000
0.750 0.250 0.000
0.250 0.750 0.275
0.250 0.750 0.725
0.750 0.250 0.275
0.750 0.250 0.725
0.001 0.501 0.118
0.001 0.999 0.882
0.081 0.581 0.560
0.081 0.919 0.440
0.250 0.250 0.218
0.250 0.250 0.341
0.250 0.250 0.659
0.250 0.250 0.782
0.419 0.581 0.440
0.419 0.919 0.560
0.499 0.501 0.882
0.499 0.999 0.118
0.501 0.001 0.882
0.501 0.499 0.118
0.581 0.081 0.440
0.581 0.419 0.560
0.750 0.750 0.218
0.750 0.750 0.341
0.750 0.750 0.659
0.750 0.750 0.782
0.919 0.081 0.560
0.919 0.419 0.440
0.999 0.001 0.118
0.999 0.499 0.882

LaHoEr, optimized geometry, DFT GGA-PBE; ΔH_f (0 K) = 10 kJ/mol of formula units
1.0
-1.803 1.803 7.594
1.803 -1.803 7.594
1.803 1.803 -7.594
La Ho Er
1 1 1
Direct
0.000 0.000 0.000
0.330 0.330 0.000
0.670 0.670 0.000

La4HoEr3, optimized geometry, DFT GGA-PBE; ΔH_f (0 K) = 25 kJ/mol of formula units
1.0
5.138 0.000 0.000
0.000 10.277 0.000
0.000 0.000 10.234
La Ho Er
8 2 6
Direct
0.250 0.000 0.128
0.250 0.250 0.872
0.250 0.500 0.128
0.250 0.750 0.872
0.750 0.000 0.872
0.750 0.250 0.128
0.750 0.500 0.872
0.750 0.750 0.128
0.250 0.250 0.385
0.750 0.750 0.615
0.250 0.000 0.616
0.250 0.500 0.616
0.250 0.750 0.384
0.750 0.000 0.384
0.750 0.250 0.616
0.750 0.500 0.384

La6Ho5Er, optimized geometry, DFT GGA-PBE; ΔH_f (0 K) = 29 kJ/mol of formula units
1.0
8.905 -3.705 0.000
8.905 3.705 0.000
-0.335 0.000 6.169
La Ho Er
6 5 1
Direct
0.084 0.583 0.334
0.250 0.750 0.000
0.417 0.916 0.666
0.583 0.084 0.334
0.750 0.250 0.000
0.916 0.417 0.666
0.000 0.000 0.500
0.167 0.167 0.166
0.333 0.333 0.834
0.667 0.667 0.166
0.833 0.833 0.834
0.500 0.500 0.500

La6HoEr3, optimized geometry, DFT GGA-PBE; ΔH_f (0 K) = 181 kJ/mol of formula units
1.0
6.013 0.000 0.000
0.000 9.708 0.000
-5.997 0.000 12.026
La Ho Er
12 2 6
Direct
0.094 0.151 0.094
0.094 0.349 0.594
0.309 0.048 0.750
0.309 0.452 0.250
0.405 0.152 0.406
0.405 0.348 0.906
0.595 0.652 0.094
0.595 0.848 0.594
0.691 0.548 0.750
0.691 0.952 0.250
0.906 0.651 0.406
0.906 0.849 0.906
0.000 0.000 0.500
0.000 0.500 0.000
0.210 0.700 0.750
0.210 0.800 0.250
0.500 0.000 0.000
0.500 0.500 0.500
0.790 0.200 0.750
0.790 0.300 0.250

La3Ho3Er, optimized geometry, DFT GGA-PBE; ΔH_f (0 K) = 92 kJ/mol of formula units
1.0
4.719 2.725 6.242
-4.719 2.725 6.242
0.000 -5.449 6.242
La Ho Er
6 6 2
Direct
0.130 0.270 0.834
0.166 0.870 0.730
0.270 0.834 0.130
0.730 0.166 0.870
0.834 0.130 0.270
0.870 0.730 0.166
0.026 0.312 0.445
0.312 0.445 0.026
0.445 0.026 0.312
0.555 0.974 0.688
0.688 0.555 0.974
0.974 0.688 0.555
0.409 0.409 0.409
0.591 0.591 0.591

LaHo5Er7, optimized geometry, DFT GGA-PBE; ΔH_f (0 K) = 315 kJ/mol of formula units
1.0
-3.324 5.538 5.759
3.324 -5.538 5.759
3.324 5.538 -5.759
La Ho Er
1 5 7
Direct
0.000 0.000 0.000
0.028 0.033 0.466
0.028 0.562 0.995
0.300 0.800 0.500
0.567 0.033 0.005
0.567 0.562 0.534
0.219 0.549 0.670
0.301 0.301 0.000
0.380 0.049 0.331
0.608 0.608 0.000
0.717 0.049 0.669
0.794 0.294 0.500
0.879 0.549 0.330

LaHo5Er3, optimized geometry, DFT GGA-PBE; ΔH_f (0 K) = 369 kJ/mol of formula units
1.0
8.470 -3.973 0.000
8.470 3.973 0.000
-7.896 0.000 9.210
La Ho Er
2 10 6
Direct
0.237 0.237 0.138
0.763 0.763 0.862
0.123 0.123 0.568
0.143 0.728 0.220
0.272 0.857 0.780
0.299 0.299 0.928
0.322 0.678 0.000
0.678 0.322 0.000
0.701 0.701 0.072
0.728 0.143 0.220
0.857 0.272 0.780
0.877 0.877 0.432
0.000 0.000 0.000
0.164 0.164 0.338
0.378 0.378 0.681
0.500 0.500 0.500
0.622 0.622 0.319
0.836 0.836 0.662

Question: The highest ΔH_f (0 K) belongs to which entry?
Answer: LaHo2Er12